The following is a DFT calculation (PBE) of a relaxed CaCoIr2 crystal.

Unit cell a=4.868 b=4.868 c=5.148 alpha=101.16 beta=101.16 gamma=33.82
Positions (direct):
Ca 0.000 0.000 0.000
Co 0.231 0.231 0.720
Ir 0.504 0.504 0.495
Ir 0.764 0.764 0.346

Summary:
**Calculated total energy**: -6.570 eV/atom
**Energy above the most stable polymorph in this dataset**: 7.0 kJ/mol of atoms
**Crystal system**: monoclinic
**Total moment**: 1.18 μB/f.u.
**Volume**: 16.63 Å³/atom
**Space group**: Cm (8)
**ΔH_f (0 K)**: 137 meV/atom